#w
Computed, not measured: Ca3MgRe after structural relaxation at the PBE-GGA level of DFT.

a b c (Å): 5.545 5.545 5.545
angles (deg): 90.00 90.00 90.00
Element x y z (fractional)
Mg: 0.000 0.000 0.000
Ca: 0.000 0.000 0.500
Ca: 0.500 0.000 0.000
Ca: 0.000 0.500 0.000
Re: 0.500 0.500 0.500

Summary:
For the density, the calculation gives 3.22 g/cm3. Its space group is Pm-3m (221).

***

#x
Computed, not measured: Ca3MgRe after structural relaxation at the PBE-GGA level of DFT.

a b c (Å): 5.567 5.567 5.567
angles (deg): 90.00 90.00 90.00
Last column: magnetic moment on the atom in μB.
Element x y z (fractional)
Mg: 0.500 0.500 0.500  0.00
Ca: 0.500 0.000 0.000  0.02
Ca: 0.000 0.500 0.000  0.01
Ca: 0.000 0.000 0.500  -0.01
Re: 0.000 0.000 0.000  1.02

Summary:
For the density, the calculation gives 3.18 g/cm3. Its space group is Pm-3m (221).

***

Bottom line: #x, by a margin of 905 meV/atom.

***

#w
Computed, not measured: Ca4MgRh after structural relaxation at the PBE-GGA level of DFT.

a b c (Å): 6.316 8.265 8.265
angles (deg): 111.83 100.79 100.79
Element x y z (fractional)
Ca: 0.055 0.941 0.270
Ca: 0.445 0.730 0.059
Ca: 0.945 0.059 0.730
Ca: 0.555 0.270 0.941
Ca: 0.633 0.197 0.352
Ca: 0.367 0.803 0.648
Ca: 0.133 0.352 0.197
Ca: 0.867 0.648 0.803
Rh: 0.250 0.999 0.001
Rh: 0.750 0.001 0.999
Mg: 0.250 0.376 0.624
Mg: 0.750 0.624 0.376

Summary:
For the density, the calculation gives 2.53 g/cm3. Its space group is C2/c (15).

***

#x
Computed, not measured: Ca4MgRh after structural relaxation at the PBE-GGA level of DFT.

a b c (Å): 6.361 6.361 6.361
angles (deg): 60.00 60.00 60.00
Element x y z (fractional)
Ca: 0.374 0.374 0.878
Ca: 0.374 0.374 0.374
Ca: 0.374 0.878 0.374
Ca: 0.878 0.374 0.374
Rh: 0.000 0.000 0.000
Mg: 0.750 0.750 0.750

Summary:
For the density, the calculation gives 2.62 g/cm3. Its space group is F-43m (216).

***

Bottom line: #w, by a margin of 801 meV/atom.